# Sr2TaAlO6 | the Alexandria database | SCAN | single point on PBEsol structure
# - E_form (uncorrected): -3383 meV/atom
data_Sr2TaAlO6
_chemical_formula_sum 'Sr8 Ta4 Al4 O24'
_cell_length_a 7.7762
_cell_length_b 7.7762
_cell_length_c 7.7762
_cell_angle_alpha 90.00
_cell_angle_beta 90.00
_cell_angle_gamma 90.00
_symmetry_space_group_name_H-M 'F m -3 m'
_symmetry_Int_Tables_number 225
_symmetry_space_group_name_Hall '-F 4 2 3'
loop_
_atom_site_label
_atom_site_fract_x
_atom_site_fract_y
_atom_site_fract_z
Sr1 0.2500 0.2500 0.2500
Ta1 0.0000 0.0000 0.0000
Al1 0.0000 0.0000 0.5000
O1 0.0000 0.0000 0.2546

---

# Fe3Ir | the Alexandria database | SCAN | single point on PBEsol structure
# - E: -248.59 eV/cell
data_Fe3Ir
_chemical_formula_sum 'Fe6 Ir2'
_cell_length_a 2.5514
_cell_length_b 7.9494
_cell_length_c 4.3436
_cell_angle_alpha 90.00
_cell_angle_beta 90.00
_cell_angle_gamma 90.00
_symmetry_space_group_name_H-M 'I m m 2'
_symmetry_Int_Tables_number 44
loop_
_symmetry_equiv_pos_as_xyz
'x,y,z'
'-x,-y,z'
'-x,y,z'
'x,-y,z'
'x+1/2,y+1/2,z+1/2'
'-x+1/2,-y+1/2,z+1/2'
'-x+1/2,y+1/2,z+1/2'
'x+1/2,-y+1/2,z+1/2'
loop_
_atom_site_label
_atom_site_fract_x
_atom_site_fract_y
_atom_site_fract_z
Fe1 0.0000 0.0000 0.0000
Fe2 0.0000 0.2533 0.3343
Ir1 0.0000 0.5000 0.9952

---

# Si3Ni | the Alexandria database | SCAN | single point on PBEsol structure
# - E_form (uncorrected): 216 meV/atom
data_Si3Ni
_chemical_formula_sum 'Si6 Ni2'
_cell_length_a 4.2998
_cell_length_b 6.6142
_cell_length_c 3.7190
_cell_angle_alpha 90.00
_cell_angle_beta 90.00
_cell_angle_gamma 90.00
_symmetry_space_group_name_H-M 'P m m n'
_symmetry_Int_Tables_number 59
loop_
_symmetry_equiv_pos_as_xyz
'x,y,z'
'-x,-y,-z'
'-x+1/2,-y+1/2,z'
'x+1/2,y+1/2,-z'
'x+1/2,-y,-z'
'-x+1/2,y,z'
'-x,y+1/2,-z'
'x,-y+1/2,z'
loop_
_atom_site_label
_atom_site_fract_x
_atom_site_fract_y
_atom_site_fract_z
Si1 0.2500 0.0130 0.1549
Si2 0.2500 0.7500 0.6330
Ni1 0.2500 0.2500 0.6240

---

# KMgSe2N | the Alexandria database | SCAN | single point on PBEsol structure
# - E_form (uncorrected): 1056 meV/atom
data_KMgSe2N
_chemical_formula_sum 'K1 Mg1 Se2 N1'
_cell_length_a 5.5797
_cell_length_b 5.5797
_cell_length_c 4.6682
_cell_angle_alpha 90.00
_cell_angle_beta 90.00
_cell_angle_gamma 90.00
_symmetry_space_group_name_H-M 'P 4/m m m'
_symmetry_Int_Tables_number 123
_symmetry_space_group_name_Hall '-P 4 2'
loop_
_atom_site_label
_atom_site_fract_x
_atom_site_fract_y
_atom_site_fract_z
K1 0.0000 0.0000 0.0000
Mg1 0.5000 0.5000 0.5000
Se1 0.0000 0.5000 0.0000
N1 0.0000 0.0000 0.5000

---

# CsBF2 | the Alexandria database | SCAN | single point on PBEsol structure
# - E_form (uncorrected): -634 meV/atom
# - Energy relative to the lowest polymorph listed for this composition: 0.301 eV per atom
data_CsBF2
_chemical_formula_sum 'Cs4 B4 F8'
_cell_length_a 6.5010
_cell_length_b 6.5010
_cell_length_c 6.5010
_cell_angle_alpha 90.00
_cell_angle_beta 90.00
_cell_angle_gamma 90.00
_symmetry_space_group_name_H-M 'F m -3 m'
_symmetry_Int_Tables_number 225
_symmetry_space_group_name_Hall '-F 4 2 3'
loop_
_atom_site_label
_atom_site_fract_x
_atom_site_fract_y
_atom_site_fract_z
Cs1 0.0000 0.0000 0.0000
B1 0.0000 0.0000 0.5000
F1 0.2500 0.2500 0.2500

---

# CrNiBr2 | the Alexandria database | SCAN | single point on PBEsol structure
# - E_form (uncorrected): -42 meV/atom
# - Energy relative to the lowest polymorph listed for this composition: 0.248 eV per atom
data_CrNiBr2
_chemical_formula_sum 'Cr2 Ni2 Br4'
_cell_length_a 3.3673
_cell_length_b 3.5774
_cell_length_c 13.3501
_cell_angle_alpha 90.00
_cell_angle_beta 90.00
_cell_angle_gamma 90.00
_symmetry_space_group_name_H-M 'I m m 2'
_symmetry_Int_Tables_number 44
loop_
_symmetry_equiv_pos_as_xyz
'x,y,z'
'-x,-y,z'
'-x,y,z'
'x,-y,z'
'x+1/2,y+1/2,z+1/2'
'-x+1/2,-y+1/2,z+1/2'
'-x+1/2,y+1/2,z+1/2'
'x+1/2,-y+1/2,z+1/2'
loop_
_atom_site_label
_atom_site_fract_x
_atom_site_fract_y
_atom_site_fract_z
Cr1 0.0000 0.0000 0.0000
Ni1 0.0000 0.5000 0.6445
Br1 0.0000 0.0000 0.4185
Br2 0.0000 0.5000 0.1656

---

# ReP2C | the Alexandria database | SCAN | single point on PBEsol structure
# - E: -401.36 eV/cell
data_ReP2C
_chemical_formula_sum 'Re4 P8 C4'
_cell_length_a 5.1103
_cell_length_b 5.1103
_cell_length_c 7.9812
_cell_angle_alpha 90.00
_cell_angle_beta 90.00
_cell_angle_gamma 90.00
_symmetry_space_group_name_H-M 'I -4 2 d'
_symmetry_Int_Tables_number 122
_symmetry_space_group_name_Hall 'I -4 2bw'
loop_
_atom_site_label
_atom_site_fract_x
_atom_site_fract_y
_atom_site_fract_z
Re1 0.0000 0.0000 0.0000
P1 0.1779 0.7500 0.6250
C1 0.0000 0.0000 0.5000

---

# LaNi2Os | the Alexandria database | SCAN | single point on PBEsol structure
# - Energy relative to the lowest polymorph listed for this composition: 0.088 eV per atom
data_LaNi2Os
_chemical_formula_sum 'La2 Ni4 Os2'
_cell_length_a 4.1211
_cell_length_b 4.1211
_cell_length_c 7.3510
_cell_angle_alpha 90.00
_cell_angle_beta 90.00
_cell_angle_gamma 90.00
_symmetry_space_group_name_H-M 'I 4/m m m'
_symmetry_Int_Tables_number 139
_symmetry_space_group_name_Hall '-I 4 2'
loop_
_atom_site_label
_atom_site_fract_x
_atom_site_fract_y
_atom_site_fract_z
La1 0.0000 0.0000 0.0000
Ni1 0.0000 0.5000 0.2500
Os1 0.0000 0.0000 0.5000

---

# MgZn2Ni | the Alexandria database | SCAN | single point on PBEsol structure
# - E: -97.59 eV/cell
data_MgZn2Ni
_chemical_formula_sum 'Mg2 Zn4 Ni2'
_cell_length_a 3.7336
_cell_length_b 3.7336
_cell_length_c 7.7724
_cell_angle_alpha 90.00
_cell_angle_beta 90.00
_cell_angle_gamma 90.00
_symmetry_space_group_name_H-M 'I -4 m 2'
_symmetry_Int_Tables_number 119
_symmetry_space_group_name_Hall 'I -4 -2'
loop_
_atom_site_label
_atom_site_fract_x
_atom_site_fract_y
_atom_site_fract_z
Mg1 0.0000 0.0000 0.0000
Zn1 0.0000 0.0000 0.5000
Zn2 0.0000 0.5000 0.7500
Ni1 0.0000 0.5000 0.2500

---

# HfMgN2 | the Alexandria database | SCAN | single point on PBEsol structure
# - E_form (uncorrected): -1734 meV/atom
data_HfMgN2
_chemical_formula_sum 'Hf4 Mg4 N8'
_cell_length_a 4.4000
_cell_length_b 4.4000
_cell_length_c 9.0892
_cell_angle_alpha 90.00
_cell_angle_beta 90.00
_cell_angle_gamma 90.00
_symmetry_space_group_name_H-M 'I 41/a m d'
_symmetry_Int_Tables_number 141
loop_
_symmetry_equiv_pos_as_xyz
'x,y,z'
'-x,-y,-z'
'-y+1/4,x+3/4,z+1/4'
'y+1/4,-x+3/4,-z+1/4'
'-x+1/2,-y,z+1/2'
'x+1/2,y,-z+1/2'
'y+1/4,-x+1/4,z+3/4'
'-y+1/4,x+1/4,-z+3/4'
'x,-y,-z'
'-x,y,z'
'-y+1/4,-x+1/4,-z+3/4'
'y+1/4,x+1/4,z+3/4'
'-x+1/2,y,-z+1/2'
'x+1/2,-y,z+1/2'
'y+1/4,x+3/4,-z+1/4'
'-y+1/4,-x+3/4,z+1/4'
'x+1/2,y+1/2,z+1/2'
'-x+1/2,-y+1/2,-z+1/2'
'-y+3/4,x+1/4,z+3/4'
'y+3/4,-x+1/4,-z+3/4'
'-x,-y+1/2,z'
'x,y+1/2,-z'
'y+3/4,-x+3/4,z+1/4'
'-y+3/4,x+3/4,-z+1/4'
'x+1/2,-y+1/2,-z+1/2'
'-x+1/2,y+1/2,z+1/2'
'-y+3/4,-x+3/4,-z+1/4'
'y+3/4,x+3/4,z+1/4'
'-x,y+1/2,-z'
'x,-y+1/2,z'
'y+3/4,x+1/4,-z+3/4'
'-y+3/4,-x+1/4,z+3/4'
loop_
_atom_site_label
_atom_site_fract_x
_atom_site_fract_y
_atom_site_fract_z
Hf1 0.0000 0.2500 0.3750
Mg1 0.0000 0.2500 0.8750
N1 0.0000 0.2500 0.1354

---

# MnZn7 | the Alexandria database | SCAN | single point on PBEsol structure
# - E: -453.05 eV/cell
data_MnZn7
_chemical_formula_sum 'Mn4 Zn28'
_cell_length_a 7.5462
_cell_length_b 7.5462
_cell_length_c 7.5462
_cell_angle_alpha 90.00
_cell_angle_beta 90.00
_cell_angle_gamma 90.00
_symmetry_space_group_name_H-M 'F m -3 m'
_symmetry_Int_Tables_number 225
_symmetry_space_group_name_Hall '-F 4 2 3'
loop_
_atom_site_label
_atom_site_fract_x
_atom_site_fract_y
_atom_site_fract_z
Mn1 0.0000 0.0000 0.0000
Zn1 0.0000 0.0000 0.5000
Zn2 0.0000 0.2500 0.2500

---

# La2CuTe4 | the Alexandria database | SCAN | single point on PBEsol structure
# - E_form (uncorrected): -1310 meV/atom
data_La2CuTe4
_chemical_formula_sum 'La4 Cu2 Te8'
_cell_length_a 6.3447
_cell_length_b 8.4325
_cell_length_c 7.6066
_cell_angle_alpha 90.00
_cell_angle_beta 90.37
_cell_angle_gamma 90.00
_symmetry_space_group_name_H-M 'P 1 21 1'
_symmetry_Int_Tables_number 4
loop_
_symmetry_equiv_pos_as_xyz
'x,y,z'
'-x,y+1/2,-z'
loop_
_atom_site_label
_atom_site_fract_x
_atom_site_fract_y
_atom_site_fract_z
La1 0.0042 0.0000 0.2286
La2 0.4961 0.8793 0.7618
Cu1 0.1992 0.6549 0.4221
Te1 0.0068 0.8568 0.6196
Te2 0.2491 0.6889 0.0893
Te3 0.2525 0.1905 0.9184
Te4 0.4850 0.5269 0.6232